Entry 1:
Below is a relaxed GaSiIr crystal, with properties calculated at the GGA-PBE level.

Output
energy = -18.5 eV/cell
space-group type = F-43m

a = 4.121 Å, b = 4.121 Å, c = 4.121 Å
α = 60.00°, β = 60.00°, γ = 60.00°
Fractional positions:
Ga: 0.250 0.250 0.250
Si: 0.750 0.750 0.750
Ir: 0.000 0.000 0.000

Entry 2:
Below is a relaxed Sr2GaSiIr2 crystal, with properties calculated at the GGA-PBE level.

Output
energy = -33.4 eV/cell
space-group type = P4mm

a = 4.273 Å, b = 4.273 Å, c = 7.642 Å
α = 90.00°, β = 90.00°, γ = 90.00°
Fractional positions:
Ga: 0.000 0.000 0.323
Si: 0.500 0.500 0.656
Sr: 0.500 0.500 0.183
Sr: 0.000 0.000 0.820
Ir: 0.000 0.500 0.509
Ir: 0.500 0.000 0.509

Entry 3:
Below is a relaxed SrGaSiIr2 crystal, with properties calculated at the GGA-PBE level.

Output
energy = -63.2 eV/cell
space-group type = P4/nmm

a = 4.235 Å, b = 4.235 Å, c = 10.247 Å
α = 90.00°, β = 90.00°, γ = 90.00°
Fractional positions:
Ga: 0.500 0.500 0.500
Si: 0.500 0.000 0.120
Sr: 0.500 0.000 0.751
Ir: 0.500 0.500 0.000
Ir: 0.500 0.000 0.358
Ga: 0.000 0.000 0.500
Ir: 0.000 0.000 0.000
Ir: 0.000 0.500 0.642
Sr: 0.000 0.500 0.249
Si: 0.000 0.500 0.880

Entry 4:
Below is a relaxed SmGaIr crystal, with properties calculated at the GGA-PBE level.

Output
energy = -17.3 eV/cell
space-group type = F-43m

a = 4.524 Å, b = 4.524 Å, c = 4.524 Å
α = 60.00°, β = 60.00°, γ = 60.00°
Fractional positions:
Ga: 0.000 0.000 0.000
Sm: 0.750 0.750 0.750
Ir: 0.250 0.250 0.250

Entry 5:
Below is a relaxed SmGa2Ir2 crystal, with properties calculated at the GGA-PBE level.

Output
energy = -32.0 eV/cell
space-group type = I4/mmm

a = 5.911 Å, b = 5.911 Å, c = 5.911 Å
α = 137.86°, β = 137.86°, γ = 61.11°
Fractional positions:
Sm: 0.000 0.000 0.000
Ga: 0.624 0.624 0.000
Ir: 0.250 0.750 0.500
Ga: 0.376 0.376 0.000
Ir: 0.750 0.250 0.500

Entry 6:
Below is a relaxed SmGaIr crystal, with properties calculated at the GGA-PBE level.

Output
energy = -16.1 eV/cell
space-group type = F-43m

a = 4.701 Å, b = 4.701 Å, c = 4.701 Å
α = 60.00°, β = 60.00°, γ = 60.00°
Fractional positions:
Ir: 0.750 0.750 0.750
Sm: 0.000 0.000 0.000
Ga: 0.250 0.250 0.250

Entry 7:
Below is a relaxed SmGa2Ir crystal, with properties calculated at the GGA-PBE level.

Output
energy = -44.9 eV/cell
space-group type = Cmmm

a = 9.540 Å, b = 9.540 Å, c = 4.127 Å
α = 90.00°, β = 90.00°, γ = 154.65°
Fractional positions:
Sm: 0.646 0.354 0.500
Ga: 0.787 0.213 0.000
Ga: 0.213 0.787 0.000
Sm: 0.354 0.646 0.500
Ga: 0.500 0.500 0.000
Ir: 0.921 0.079 0.000
Ir: 0.079 0.921 0.000
Ga: 0.000 0.000 0.500

Entry 8:
Below is a relaxed SmGa2Ir2 crystal, with properties calculated at the GGA-PBE level.

Output
energy = -31.7 eV/cell
space-group type = I4/mmm

a = 6.160 Å, b = 6.160 Å, c = 6.160 Å
α = 140.34°, β = 140.34°, γ = 57.33°
Fractional positions:
Ga: 0.750 0.250 0.500
Ir: 0.383 0.383 0.000
Ga: 0.250 0.750 0.500
Sm: 0.000 0.000 0.000
Ir: 0.617 0.617 0.000